Entry 1:
A plane-wave DFT calculation with PBE was carried out for crystalline BaTl2FeIr at its relaxed geometry.

a b c (Å): 6.4042 5.2421 6.4042
angles (deg): 90.00 90.00 90.00
Last column: nearest neighbours and their distance in Å.
Fractional coordinates of all 5 atoms:
Tl 0.0000 0.0000 0.5000  2 Ba 3.20
Tl 0.5000 0.0000 0.0000  2 Ba 3.20
Ir 0.0000 0.5000 0.0000  2 Ba 2.62
Ba 0.0000 0.0000 0.0000  2 Ir 2.62
Fe 0.5000 0.5000 0.5000  8 Tl 4.14, 4 Ir 4.53

## Properties
- space group = No. 123
- energy of formation (eV per atom) = 1.77
- density of states at the Fermi level (states/eV per atom) = 1.13

Entry 2:
A plane-wave DFT calculation with PBE was carried out for crystalline KBaFe at its relaxed geometry.

a b c (Å): 5.7135 5.7135 5.7135
angles (deg): 60.00 60.00 60.00
Last column: nearest neighbours and their distance in Å.
Fractional coordinates of all 3 atoms:
Ba 0.5000 0.5000 0.5000  4 Fe 3.50
Fe 0.7500 0.7500 0.7500  4 Ba 3.50, 4 K 3.50
K 0.0000 0.0000 0.0000  4 Fe 3.50

## Properties
- space group = No. 216
- energy of formation (eV per atom) = 0.90
- excess energy over the best structure of this formula in the dataset (meV/atom) = 116
- density of states at the Fermi level (states/eV per atom) = 0.67

Entry 3:
A plane-wave DFT calculation with PBE was carried out for crystalline K4BaFe at its relaxed geometry.

a b c (Å): 7.9023 7.9023 7.9023
angles (deg): 60.00 60.00 60.00
Last column: nearest neighbours and their distance in Å.
Fractional coordinates of all 6 atoms:
K 0.8786 0.3738 0.3738  6 K 3.91-3.99
K 0.3738 0.3738 0.8786  6 K 3.91-3.99
K 0.3738 0.8786 0.3738  6 K 3.91-3.99
K 0.3738 0.3738 0.3738  6 K 3.91-3.99
Ba 0.7500 0.7500 0.7500  12 K 4.64, 4 Fe 4.84
Fe 0.0000 0.0000 0.0000  12 K 4.63, 4 Ba 4.84

## Properties
- space group = No. 216
- energy of formation (eV per atom) = 0.74
- density of states at the Fermi level (states/eV per atom) = 1.20

Entry 4:
A plane-wave DFT calculation with PBE was carried out for crystalline KBaFe4 at its relaxed geometry.

a b c (Å): 5.6840 5.6840 5.6840
angles (deg): 60.00 60.00 60.00
Last column: nearest neighbours and their distance in Å.
Fractional coordinates of all 6 atoms:
K 0.7500 0.7500 0.7500  12 Fe 3.38, 4 Ba 3.48
Ba 0.0000 0.0000 0.0000  12 Fe 3.30, 4 K 3.48
Fe 0.9288 0.3571 0.3571  3 Fe 2.43
Fe 0.3571 0.3571 0.9288  3 Fe 2.43
Fe 0.3571 0.9288 0.3571  3 Fe 2.43
Fe 0.3571 0.3571 0.3571  3 Fe 2.43

## Properties
- space group = No. 216
- energy of formation (eV per atom) = 0.82
- density of states at the Fermi level (states/eV per atom) = 1.08

Entry 5:
A plane-wave DFT calculation with PBE was carried out for crystalline KBa4Fe at its relaxed geometry.

a b c (Å): 7.8756 7.8756 7.8756
angles (deg): 60.00 60.00 60.00
Last column: nearest neighbours and their distance in Å.
Fractional coordinates of all 6 atoms:
K 0.0000 0.0000 0.0000  12 Ba 4.62, 4 Fe 4.82
Ba 0.8717 0.3761 0.3761  6 Ba 3.90-3.97
Ba 0.3761 0.3761 0.8717  6 Ba 3.90-3.97
Ba 0.3761 0.8717 0.3761  6 Ba 3.90-3.97
Ba 0.3761 0.3761 0.3761  6 Ba 3.90-3.97
Fe 0.7500 0.7500 0.7500  12 Ba 4.61, 4 K 4.82

## Properties
- space group = No. 216
- energy of formation (eV per atom) = 0.82
- density of states at the Fermi level (states/eV per atom) = 2.46

Entry 6:
A plane-wave DFT calculation with PBE was carried out for crystalline KBaFe at its relaxed geometry.

a b c (Å): 8.5822 8.5474 3.9747
angles (deg): 77.07 76.10 26.83
Last column: nearest neighbours and their distance in Å.
Fractional coordinates of all 3 atoms:
Ba 0.9566 0.9566 0.0434  4 Fe 3.31-3.40
Fe 0.3430 0.3430 0.6570  4 Ba 3.31-3.40, 4 K 3.60-3.68
K 0.7003 0.7003 0.2997  4 Fe 3.60-3.68, 4 K 3.97

## Properties
- space group = No. 42
- energy of formation (eV per atom) = 0.79
- excess energy over the best structure of this formula in the dataset (meV/atom) = 0
- density of states at the Fermi level (states/eV per atom) = 1.37

Entry 7:
A plane-wave DFT calculation with PBE was carried out for crystalline KBaFe at its relaxed geometry.

a b c (Å): 4.2983 4.2983 8.5038
angles (deg): 90.00 90.00 120.00
Last column: nearest neighbours and their distance in Å.
Fractional coordinates of all 3 atoms:
Ba 0.0000 0.0000 0.0808  3 Fe 3.20
Fe 0.6667 0.3333 0.3191  3 Ba 3.20, 3 K 3.45
K 0.3333 0.6667 0.6001  3 Fe 3.45

## Properties
- space group = No. 156
- energy of formation (eV per atom) = 0.88
- excess energy over the best structure of this formula in the dataset (meV/atom) = 94
- density of states at the Fermi level (states/eV per atom) = 1.54